## P
A relaxed structure of HgBrN2, computed with PBE.

Results
SG: R-3m (166)
size of the total moment: 0.00 μB per cell

Lattice parameters (Å, degrees): 6.4757 6.4757 6.4757 31.86 31.86 31.86
Last column: nearest neighbours and their distance in Å.
Atoms (fractional coordinates):
N 0.8904 0.8904 0.8904  1 Br 2.02
Br 0.0000 0.0000 0.0000  2 N 2.02
Hg 0.5000 0.5000 0.5000  6 N 2.31
N 0.1096 0.1096 0.1096  1 Br 2.02



## Q
A relaxed structure of HgBrN2, computed with PBE.

Results
SG: I-42d (122)
size of the total moment: 0.00 μB per cell

Lattice parameters (Å, degrees): 4.8588 4.8588 6.7411 68.88 68.88 90.00
Last column: nearest neighbours and their distance in Å.
Atoms (fractional coordinates):
N 0.5826 0.1250 0.2500  2 Br 2.14, 2 Hg 2.37
Hg 0.0000 0.0000 0.0000  4 N 2.37
Br 0.5000 0.5000 0.0000  4 N 2.14
Br 0.2500 0.7500 0.5000  4 N 2.14
Hg 0.7500 0.2500 0.5000  4 N 2.37
N 0.1674 0.6250 0.2500  2 Br 2.14, 2 Hg 2.37
N 0.3750 0.4174 0.7500  2 Br 2.14, 2 Hg 2.37
N 0.8750 0.8326 0.7500  2 Br 2.14, 2 Hg 2.37



According to the calculations, the structures order from most to least stable as P, Q.